*a*
An optimized crystal structure of Na3ScZn. Source: Alexandria via LeMat-Bulk, functional PBE-GGA.

a = 5.466 Å, b = 5.466 Å, c = 5.466 Å
α = 90.00°, β = 90.00°, γ = 90.00°
Fractional coordinates of all 5 atoms:
Na  0.000  0.500  0.000
Na  0.500  0.000  0.000
Na  0.000  0.000  0.500
Zn  0.000  0.000  0.000
Sc  0.500  0.500  0.500

Properties
SG: Pm-3m
Fermi-level density of states (states/eV per atom): 0.978
Magnetic moment (μB/f.u.): 0.8

=====

*b*
An optimized crystal structure of Na3ScZn. Source: Alexandria via LeMat-Bulk, functional PBE-GGA.

a = 6.447 Å, b = 6.447 Å, c = 6.447 Å
α = 90.00°, β = 90.00°, γ = 90.00°
Fractional coordinates of all 5 atoms:
Na  0.000  0.500  0.000
Na  0.500  0.000  0.000
Na  0.000  0.000  0.500
Sc  0.000  0.000  0.000
Zn  0.500  0.500  0.500

Properties
SG: Pm-3m
Fermi-level density of states (states/eV per atom): 1.250
Magnetic moment (μB/f.u.): 1.4

=====

Stability check: which of them is least stable? *b*.

=====

*a*
An optimized crystal structure of Na2ScZn2. Source: Alexandria via LeMat-Bulk, functional PBE-GGA.

a = 3.952 Å, b = 3.952 Å, c = 7.605 Å
α = 74.94°, β = 74.94°, γ = 90.00°
Fractional coordinates of all 5 atoms:
Zn  0.587  0.587  0.826
Zn  0.413  0.413  0.174
Na  0.250  0.750  0.500
Na  0.750  0.250  0.500
Sc  0.000  0.000  0.000

Properties
SG: I4/mmm
Fermi-level density of states (states/eV per atom): 0.785
Magnetic moment (μB/f.u.): 0.0

=====

*b*
An optimized crystal structure of Na2ScZn2. Source: Alexandria via LeMat-Bulk, functional PBE-GGA.

a = 7.140 Å, b = 7.140 Å, c = 4.798 Å
α = 90.00°, β = 90.00°, γ = 90.00°
Fractional coordinates of all 10 atoms:
Zn  0.374  0.874  0.000
Zn  0.626  0.126  0.000
Zn  0.126  0.374  0.000
Zn  0.874  0.626  0.000
Sc  0.000  0.000  0.000
Sc  0.500  0.500  0.000
Na  0.674  0.826  0.500
Na  0.826  0.326  0.500
Na  0.174  0.674  0.500
Na  0.326  0.174  0.500

Properties
SG: P4/mbm
Fermi-level density of states (states/eV per atom): 0.741
Magnetic moment (μB/f.u.): 0.0

=====

Stability check: which of them is least stable? *b*.

=====

*a*
An optimized crystal structure of NaSc2Zn2. Source: Alexandria via LeMat-Bulk, functional PBE-GGA.

a = 8.304 Å, b = 8.304 Å, c = 3.117 Å
α = 90.00°, β = 90.00°, γ = 90.00°
Fractional coordinates of all 10 atoms:
Sc  0.131  0.369  0.000
Sc  0.631  0.131  0.000
Sc  0.369  0.869  0.000
Sc  0.869  0.631  0.000
Na  0.500  0.500  0.000
Na  0.000  0.000  0.000
Zn  0.336  0.164  0.500
Zn  0.664  0.836  0.500
Zn  0.164  0.664  0.500
Zn  0.836  0.336  0.500

Properties
SG: P4/mbm
Fermi-level density of states (states/eV per atom): 1.001
Magnetic moment (μB/f.u.): 0.2

=====

*b*
An optimized crystal structure of NaSc2Zn2. Source: Alexandria via LeMat-Bulk, functional PBE-GGA.

a = 7.977 Å, b = 7.977 Å, c = 3.358 Å
α = 90.00°, β = 90.00°, γ = 90.00°
Fractional coordinates of all 10 atoms:
Zn  0.861  0.639  0.000
Zn  0.361  0.861  0.000
Zn  0.639  0.139  0.000
Zn  0.139  0.361  0.000
Na  0.500  0.500  0.000
Na  0.000  0.000  0.000
Sc  0.153  0.653  0.500
Sc  0.347  0.153  0.500
Sc  0.653  0.847  0.500
Sc  0.847  0.347  0.500

Properties
SG: P4/mbm
Fermi-level density of states (states/eV per atom): 0.700
Magnetic moment (μB/f.u.): 0.0

=====

Stability check: which of them is least stable? *a*.

=====

*a*
An optimized crystal structure of NaZrSc. Source: Alexandria via LeMat-Bulk, functional PBE-GGA.

a = 19.012 Å, b = 8.900 Å, c = 8.900 Å
α = 159.25°, β = 160.03°, γ = 19.97°
Fractional coordinates of all 6 atoms:
Zr  0.892  0.427  0.573
Zr  0.108  0.573  0.427
Na  0.500  0.000  0.000
Na  0.000  0.000  0.000
Sc  0.612  0.567  0.433
Sc  0.388  0.433  0.567

Properties
SG: C2/m
Fermi-level density of states (states/eV per atom): 1.196
Magnetic moment (μB/f.u.): 0.0

=====

*b*
An optimized crystal structure of NaZrSc. Source: Alexandria via LeMat-Bulk, functional PBE-GGA.

a = 5.336 Å, b = 5.826 Å, c = 10.056 Å
α = 90.00°, β = 90.00°, γ = 90.00°
Fractional coordinates of all 12 atoms:
Na  0.819  0.250  0.836
Na  0.681  0.750  0.336
Na  0.181  0.750  0.164
Na  0.319  0.250  0.664
Sc  0.169  0.750  0.506
Sc  0.831  0.250  0.494
Sc  0.331  0.250  0.006
Sc  0.669  0.750  0.994
Zr  0.154  0.750  0.809
Zr  0.346  0.250  0.309
Zr  0.654  0.750  0.691
Zr  0.846  0.250  0.191

Properties
SG: Pnma
Fermi-level density of states (states/eV per atom): 1.189
Magnetic moment (μB/f.u.): 0.0

=====

*c*
An optimized crystal structure of NaZrSc. Source: Alexandria via LeMat-Bulk, functional PBE-GGA.

a = 5.140 Å, b = 5.140 Å, c = 5.140 Å
α = 60.00°, β = 60.00°, γ = 60.00°
Fractional coordinates of all 3 atoms:
Zr  0.750  0.750  0.750
Sc  0.000  0.000  0.000
Na  0.250  0.250  0.250

Properties
SG: F-43m
Fermi-level density of states (states/eV per atom): 2.417
Magnetic moment (μB/f.u.): 3.6

=====

Stability check: which of them is least stable? *c*.

=====

*a*
An optimized crystal structure of NaZrSc. Source: Alexandria via LeMat-Bulk, functional PBE-GGA.

a = 8.905 Å, b = 5.623 Å, c = 3.198 Å
α = 90.02°, β = 79.84°, γ = 96.76°
Fractional coordinates of all 6 atoms:
Na  0.161  0.412  0.090
Na  0.153  0.911  0.594
Sc  0.513  0.141  0.915
Sc  0.800  0.518  0.774
Zr  0.792  0.020  0.278
Zr  0.521  0.640  0.412

Properties
SG: P1
Fermi-level density of states (states/eV per atom): 1.099
Magnetic moment (μB/f.u.): 0.0

=====

*b*
An optimized crystal structure of NaZrSc. Source: Alexandria via LeMat-Bulk, functional PBE-GGA.

a = 9.583 Å, b = 5.575 Å, c = 3.218 Å
α = 106.65°, β = 99.47°, γ = 79.64°
Fractional coordinates of all 6 atoms:
Zr  0.438  0.745  0.342
Zr  0.562  0.255  0.658
Na  0.089  0.749  0.670
Na  0.911  0.251  0.330
Sc  0.289  0.242  0.018
Sc  0.711  0.758  0.982

Properties
SG: P-1
Fermi-level density of states (states/eV per atom): 0.844
Magnetic moment (μB/f.u.): 0.0

=====

*c*
An optimized crystal structure of NaZrSc. Source: Alexandria via LeMat-Bulk, functional PBE-GGA.

a = 3.204 Å, b = 6.409 Å, c = 8.026 Å
α = 101.52°, β = 101.50°, γ = 90.00°
Fractional coordinates of all 6 atoms:
Sc  0.759  0.634  0.048
Sc  0.759  0.134  0.048
Na  0.444  0.476  0.419
Na  0.447  0.976  0.419
Zr  0.125  0.316  0.780
Zr  0.125  0.816  0.780

Properties
SG: I4mm
Fermi-level density of states (states/eV per atom): 0.619
Magnetic moment (μB/f.u.): 0.0

=====

*d*
An optimized crystal structure of NaZrSc. Source: Alexandria via LeMat-Bulk, functional PBE-GGA.

a = 5.074 Å, b = 5.074 Å, c = 6.825 Å
α = 90.00°, β = 90.00°, γ = 120.00°
Fractional coordinates of all 6 atoms:
Sc  0.000  0.000  0.867
Sc  0.333  0.667  0.652
Na  0.333  0.667  0.156
Na  0.667  0.333  0.162
Zr  0.000  0.000  0.449
Zr  0.667  0.333  0.655

Properties
SG: P3m1
Fermi-level density of states (states/eV per atom): 0.732
Magnetic moment (μB/f.u.): 0.1

=====

Stability check: which of them is least stable? *d*.

=====

*a*
An optimized crystal structure of NaZrSc. Source: Alexandria via LeMat-Bulk, functional PBE-GGA.

a = 5.653 Å, b = 3.202 Å, c = 8.875 Å
α = 90.00°, β = 78.33°, γ = 90.00°
Fractional coordinates of all 6 atoms:
Na  0.747  0.750  0.001
Na  0.253  0.250  0.999
Sc  0.041  0.250  0.642
Sc  0.959  0.750  0.358
Zr  0.459  0.250  0.362
Zr  0.541  0.750  0.638

Properties
SG: P2_1/m
Fermi-level density of states (states/eV per atom): 1.184
Magnetic moment (μB/f.u.): 0.0

=====

*b*
An optimized crystal structure of NaZrSc. Source: Alexandria via LeMat-Bulk, functional PBE-GGA.

a = 4.639 Å, b = 4.639 Å, c = 10.388 Å
α = 90.00°, β = 90.00°, γ = 120.00°
Fractional coordinates of all 6 atoms:
Sc  0.000  0.000  0.750
Sc  0.000  0.000  0.250
Zr  0.000  0.000  0.500
Zr  0.000  0.000  0.000
Na  0.667  0.333  0.750
Na  0.333  0.667  0.250

Properties
SG: P6_3/mmc
Fermi-level density of states (states/eV per atom): 1.296
Magnetic moment (μB/f.u.): 0.0

=====

*c*
An optimized crystal structure of NaZrSc. Source: Alexandria via LeMat-Bulk, functional PBE-GGA.

a = 17.092 Å, b = 17.092 Å, c = 17.092 Å
α = 11.07°, β = 11.07°, γ = 11.07°
Fractional coordinates of all 6 atoms:
Na  0.699  0.699  0.699
Na  0.301  0.301  0.301
Zr  0.808  0.808  0.808
Zr  0.192  0.192  0.192
Sc  0.907  0.907  0.907
Sc  0.093  0.093  0.093

Properties
SG: R-3m
Fermi-level density of states (states/eV per atom): 2.184
Magnetic moment (μB/f.u.): 0.0

=====

Stability check: which of them is least stable? *b*.

=====

*a*
An optimized crystal structure of NaZrSc. Source: Alexandria via LeMat-Bulk, functional PBE-GGA.

a = 3.271 Å, b = 3.272 Å, c = 17.202 Å
α = 95.44°, β = 84.54°, γ = 120.10°
Fractional coordinates of all 6 atoms:
Zr  0.455  0.482  0.834
Zr  0.171  0.767  0.691
Na  0.560  0.378  0.515
Na  0.297  0.643  0.322
Sc  0.071  0.866  0.990
Sc  0.688  0.249  0.141

Properties
SG: Cm
Fermi-level density of states (states/eV per atom): 1.616
Magnetic moment (μB/f.u.): 0.1

=====

*b*
An optimized crystal structure of NaZrSc. Source: Alexandria via LeMat-Bulk, functional PBE-GGA.

a = 3.244 Å, b = 3.245 Å, c = 15.321 Å
α = 90.00°, β = 90.05°, γ = 90.00°
Fractional coordinates of all 6 atoms:
Zr  0.751  0.250  0.575
Zr  0.249  0.750  0.425
Sc  0.252  0.750  0.714
Sc  0.748  0.250  0.286
Na  0.752  0.250  0.898
Na  0.248  0.750  0.102

Properties
SG: P2_1/m
Fermi-level density of states (states/eV per atom): 0.744
Magnetic moment (μB/f.u.): 0.0

=====

Stability check: which of them is least stable? *a*.

=====

*a*
An optimized crystal structure of NaZrSc. Source: Alexandria via LeMat-Bulk, functional PBE-GGA.

a = 4.496 Å, b = 4.551 Å, c = 15.487 Å
α = 90.00°, β = 90.00°, γ = 90.00°
Fractional coordinates of all 12 atoms:
Zr  0.249  0.250  0.315
Zr  0.751  0.750  0.685
Zr  0.251  0.750  0.815
Zr  0.749  0.250  0.185
Na  0.250  0.250  0.000
Na  0.250  0.750  0.500
Na  0.750  0.750  0.000
Na  0.750  0.250  0.500
Sc  0.751  0.250  0.819
Sc  0.249  0.750  0.181
Sc  0.749  0.750  0.319
Sc  0.251  0.250  0.681

Properties
SG: Pnma
Fermi-level density of states (states/eV per atom): 0.759
Magnetic moment (μB/f.u.): 0.0

=====

*b*
An optimized crystal structure of NaZrSc. Source: Alexandria via LeMat-Bulk, functional PBE-GGA.

a = 3.211 Å, b = 5.149 Å, c = 9.899 Å
α = 90.00°, β = 95.05°, γ = 90.00°
Fractional coordinates of all 6 atoms:
Sc  0.438  0.750  0.296
Sc  0.562  0.250  0.704
Zr  0.989  0.250  0.437
Zr  0.011  0.750  0.563
Na  0.818  0.250  0.091
Na  0.182  0.750  0.909

Properties
SG: P2_1/m
Fermi-level density of states (states/eV per atom): 0.707
Magnetic moment (μB/f.u.): 0.0

=====

*c*
An optimized crystal structure of NaZrSc. Source: Alexandria via LeMat-Bulk, functional PBE-GGA.

a = 17.115 Å, b = 3.282 Å, c = 3.281 Å
α = 60.01°, β = 95.37°, γ = 95.19°
Fractional coordinates of all 6 atoms:
Sc  0.435  0.119  0.474
Sc  0.878  0.915  0.290
Na  0.059  0.306  0.681
Na  0.253  0.721  0.081
Zr  0.734  0.205  0.574
Zr  0.580  0.497  0.856

Properties
SG: P1
Fermi-level density of states (states/eV per atom): 1.344
Magnetic moment (μB/f.u.): 0.0

=====

*d*
An optimized crystal structure of NaZrSc. Source: Alexandria via LeMat-Bulk, functional PBE-GGA.

a = 9.085 Å, b = 6.498 Å, c = 5.250 Å
α = 90.00°, β = 90.00°, γ = 90.00°
Fractional coordinates of all 12 atoms:
Zr  0.333  0.250  0.000
Zr  0.667  0.750  0.000
Zr  0.833  0.250  0.500
Zr  0.167  0.750  0.500
Na  0.333  0.750  0.000
Na  0.667  0.250  0.000
Na  0.167  0.250  0.500
Na  0.833  0.750  0.500
Sc  0.000  0.500  0.000
Sc  0.500  0.000  0.500
Sc  0.000  0.000  0.000
Sc  0.500  0.500  0.500

Properties
SG: P6_3/mmc
Fermi-level density of states (states/eV per atom): 1.768
Magnetic moment (μB/f.u.): 1.3

=====

Stability check: which of them is least stable? *d*.